Computed, not measured: crystalline AlTe2Os at its relaxed geometry at the PBE-GGA level of DFT.

Cell lengths 4.071, 4.071, 6.854 Å; angles 72.71, 72.71, 60.08 degrees
Positions (direct):
Te (0.014, 0.014, 0.959)
Te (0.486, 0.486, 0.541)
Os (0.750, 0.750, 0.750)
Al (0.250, 0.250, 0.250)

Summary:
Symmetry: C2/m
Volume: 92 Å³/f.u.
Uncorrected formation energy: 0.292 eV/atom